Material: VCo3P4O16
Method: DFT, GGA+U
State: relaxed

## Properties
final energy = -6.95 eV per atom
crystal system = monoclinic
M_tot = 0.500 μB per atom

Cell: 4.852 5.889 9.863 Å, 90.00 91.27 90.00°
Space group Pm (No. 6)
Unique sites:
V1 0.000 0.000 0.000 x1
Co1 0.406 0.000 0.499 x1
Co2 0.516 0.500 0.042 x1
Co3 0.933 0.500 0.550 x1
P1 0.055 0.500 0.867 x1
P2 0.380 0.500 0.370 x1
P3 0.585 0.000 0.178 x1
P4 0.865 0.000 0.676 x1
O1 0.124 0.500 0.713 x1
O2 0.176 0.000 0.658 x1
O3 0.203 0.291 0.937 x2
O4 0.234 0.294 0.444 x2
O5 0.273 0.000 0.140 x1
O6 0.324 0.500 0.220 x1
O7 0.628 0.000 0.331 x1
O8 0.693 0.500 0.402 x1
O9 0.711 0.205 0.610 x2
O10 0.740 0.201 0.106 x2
O11 0.747 0.500 0.883 x1
O12 0.817 0.000 0.834 x1